V8Ni2O15 PBE with a Hubbard U optimized geometry; spin magnetization = 18.0 μB per formula unit; crystal system = monoclinic; E = -0.5467 Ry per atom; space-group type = C2/c
1.0
-0.490 1.669 -4.791
-4.442 -2.278 2.371
-4.337 19.308 7.172
O V Ni
30 16 4
Direct
0.430 0.674 0.589
0.222 0.256 0.989
0.664 0.207 0.048
0.336 0.793 0.952
0.033 0.256 0.489
0.937 0.000 0.750
0.255 0.388 0.848
0.745 0.612 0.152
0.644 0.469 0.286
0.425 0.055 0.691
0.134 0.388 0.348
0.575 0.945 0.309
0.457 0.793 0.452
0.756 0.326 0.911
0.967 0.744 0.511
0.244 0.674 0.089
0.825 0.469 0.786
0.371 0.945 0.809
0.570 0.326 0.411
0.543 0.207 0.548
0.175 0.531 0.214
0.958 0.138 0.608
0.629 0.055 0.191
0.820 0.862 0.892
0.180 0.138 0.108
0.866 0.612 0.652
0.042 0.862 0.392
0.063 0.000 0.250
0.778 0.744 0.011
0.356 0.531 0.714
0.319 0.124 0.330
0.612 0.721 0.231
0.505 0.515 0.928
0.990 0.485 0.572
0.805 0.124 0.830
0.891 0.279 0.269
0.195 0.876 0.170
0.388 0.279 0.769
0.223 0.924 0.028
0.681 0.876 0.670
0.777 0.076 0.972
0.299 0.076 0.472
0.109 0.721 0.731
0.495 0.485 0.072
0.010 0.515 0.428
0.701 0.924 0.528
0.599 0.683 0.370
0.916 0.317 0.130
0.084 0.683 0.870
0.401 0.317 0.630